This record from Alexandria describes a geometry-optimized PmThSiPd structure. The functional is PBE.

Output
E_tot (eV per atom): -6.236
Formation energy without anion corrections (eV per atom): -0.540
Magnetic moment (μB/f.u.): 0.82

a b c (Å): 5.134 5.134 5.134
angles (deg): 60.00 60.00 60.00
Site moments in Bohr magnetons follow the coordinates.
Positions (direct):
Si: 0.000 0.000 0.000  -0.01
Pd: 0.500 0.500 0.500  0.11
Th: 0.250 0.250 0.250  0.21
Pm: 0.750 0.750 0.750  0.19


This record from Alexandria describes a geometry-optimized PmTmSi2Pd5 structure. The functional is PBE.

Output
E_tot (eV per atom): -6.012
Formation energy without anion corrections (eV per atom): -0.897
Magnetic moment (μB/f.u.): 0.00

a b c (Å): 4.197 4.197 8.999
angles (deg): 90.00 90.00 90.00
Positions (direct):
Pm: 0.000 0.000 0.500
Tm: 0.000 0.000 0.000
Si: 0.500 0.500 0.130
Si: 0.500 0.500 0.870
Pd: 0.000 0.500 0.263
Pd: 0.500 0.000 0.263
Pd: 0.000 0.500 0.737
Pd: 0.500 0.000 0.737
Pd: 0.500 0.500 0.500


Number 1: calculated volume 96 Å³/f.u.. Number 2: calculated volume 159 Å³/f.u..